Entry 1:
Compound: Li3Nb2N4
Source: the Alexandria database
Functional: PBE
Structure: relaxed

Cell lengths 5.737, 5.737, 6.797 Å; angles 91.77, 91.77, 88.79 degrees
Fractional positions:
Li  0.186  0.814  0.750
Li  0.330  0.437  0.611
Li  0.437  0.330  0.111
Li  0.563  0.670  0.889
Li  0.670  0.563  0.389
Li  0.814  0.186  0.250
Nb  0.008  0.254  0.917
Nb  0.254  0.008  0.417
Nb  0.746  0.992  0.583
Nb  0.992  0.746  0.083
N  0.077  0.194  0.618
N  0.194  0.077  0.118
N  0.224  0.552  0.938
N  0.448  0.776  0.562
N  0.552  0.224  0.438
N  0.776  0.448  0.062
N  0.806  0.923  0.882
N  0.923  0.806  0.382

=====

Entry 2:
Compound: LiNb3N
Source: the Alexandria database
Functional: PBE
Structure: relaxed

Cell lengths 4.270, 4.270, 4.270 Å; angles 90.00, 90.00, 90.00 degrees
Fractional positions:
Li  0.000  0.000  0.000
Nb  0.000  0.500  0.500
Nb  0.500  0.000  0.500
Nb  0.500  0.500  0.000
N  0.500  0.500  0.500

## Properties
As for the energy above the most stable polymorph in this dataset: 0 kJ/mol of formula units.

=====

| no. | DFT total energy (eV/atom) | E_form (uncorrected) (eV/atom) |
| --- | --- | --- |
| 1 | -7.35 | -0.7732 |
| 2 | -8.32 | -0.2290 |